(1)
ZnAgSO, optimized geometry, DFT PBE-GGA; energy above the lowest structure with this stoichiometry = 0.347 eV per atom
1.0
3.914 0.000 0.000
0.000 3.914 0.000
0.000 0.000 8.064
Zn Ag S O
2 2 2 2
direct
0.250 0.250 0.248
0.750 0.750 0.752
0.250 0.750 0.000
0.750 0.250 0.000
0.250 0.250 0.678
0.750 0.750 0.322
0.250 0.250 0.488
0.750 0.750 0.512

(2)
ZnAgSO, optimized geometry, DFT PBE-GGA; energy above the lowest structure with this stoichiometry = 0.072 eV per atom
1.0
6.095 0.000 0.000
0.000 12.833 0.000
0.000 0.000 6.755
Zn Ag S O
8 8 8 8
direct
0.043 0.229 0.142
0.043 0.271 0.642
0.457 0.729 0.142
0.457 0.771 0.642
0.543 0.229 0.358
0.543 0.271 0.858
0.957 0.729 0.358
0.957 0.771 0.858
0.220 0.068 0.533
0.220 0.432 0.033
0.280 0.568 0.533
0.280 0.932 0.033
0.720 0.068 0.967
0.720 0.432 0.467
0.780 0.568 0.967
0.780 0.932 0.467
0.005 0.029 0.226
0.005 0.471 0.726
0.495 0.529 0.226
0.495 0.971 0.726
0.505 0.029 0.274
0.505 0.471 0.774
0.995 0.529 0.274
0.995 0.971 0.774
0.217 0.249 0.892
0.217 0.251 0.392
0.283 0.749 0.892
0.283 0.751 0.392
0.717 0.249 0.608
0.717 0.251 0.108
0.783 0.749 0.608
0.783 0.751 0.108

For each record above, in turn, the calculated mass density values are 5.9 5.6 Mg/m³.